# 1
Material: BeTcBr
Method: DFT, PBE-GGA
State: relaxed

a = 3.0377 Å, b = 2.9932 Å, c = 5.9918 Å
α = 89.86°, β = 104.69°, γ = 90.01°
Closest atoms and distances in Å follow each position.
Fractional positions:
Tc 0.7873 0.1284 0.8421  4 Be 2.41, 2 Br 2.48-2.49
Br 0.6160 0.6300 0.4998  2 Tc 2.48-2.49, 1 Be 2.68
Be 0.3846 0.6270 0.0367  4 Tc 2.41, 1 Br 2.68

Output
Formation energy without anion corrections, eV/atom: 0.484
Offset from the most stable computed form, kcal/mol of atoms: 0.09
V, Å³/f.u.: 52.70
Magnetic moment, μB per cell: 0.26



# 2
Material: BeTcBr2
Method: DFT, PBE-GGA
State: relaxed

a = 6.5050 Å, b = 6.5050 Å, c = 6.5050 Å
α = 151.57°, β = 98.98°, γ = 87.97°
Closest atoms and distances in Å follow each position.
Fractional positions:
Br 0.6757 0.1757 0.5000  2 Tc 2.51
Br 0.0988 0.0988 0.0000  2 Be 2.18
Be 0.2567 0.7567 0.5000  2 Br 2.18
Tc 0.4688 0.4688 0.0000  2 Br 2.51, 2 Be 2.55

Output
Formation energy without anion corrections, eV/atom: 0.439
Offset from the most stable computed form, kcal/mol of atoms: 8.44
V, Å³/f.u.: 126.36
Magnetic moment, μB per cell: 3.01



# 3
Material: Be2TcBr
Method: DFT, PBE-GGA
State: relaxed

a = 3.4709 Å, b = 3.4709 Å, c = 5.7443 Å
α = 89.90°, β = 89.90°, γ = 59.98°
Closest atoms and distances in Å follow each position.
Fractional positions:
Tc 0.2913 0.2913 0.1450  6 Be 2.29-2.44
Br 0.6249 0.6249 0.4998  1 Be 2.31
Be 0.6253 0.6253 0.9018  3 Be 2.03
Be 0.9585 0.9585 0.9534  3 Be 2.03

Output
Formation energy without anion corrections, eV/atom: 0.245
Offset from the most stable computed form, kcal/mol of atoms: 0.00
V, Å³/f.u.: 59.92
Magnetic moment, μB per cell: 0.00



# 4
Material: BeTcTe2Br
Method: DFT, PBE-GGA
State: relaxed

a = 5.1492 Å, b = 4.5817 Å, c = 5.1492 Å
α = 90.00°, β = 90.00°, γ = 90.00°
Closest atoms and distances in Å follow each position.
Fractional positions:
Be 0.0000 0.5000 0.0000  2 Tc 2.29
Tc 0.0000 0.0000 0.0000  2 Be 2.29
Br 0.5000 0.5000 0.5000  8 Te 3.45, 4 Be 3.64
Te 0.0000 0.0000 0.5000  2 Tc 2.57
Te 0.5000 0.0000 0.0000  2 Tc 2.57

Output
Formation energy without anion corrections, eV/atom: 0.385
V, Å³/f.u.: 121.48
Magnetic moment, μB per cell: 0.00



# 5
Material: Be2TeBr
Method: DFT, PBE-GGA
State: relaxed

a = 5.5558 Å, b = 5.5558 Å, c = 6.9579 Å
α = 66.47°, β = 66.47°, γ = 90.00°
Closest atoms and distances in Å follow each position.
Fractional positions:
Br 0.5000 0.5000 0.0000  4 Be 2.46
Br 0.2500 0.7500 0.5000  4 Be 2.46
Te 0.0000 0.0000 0.0000  4 Be 2.40
Te 0.7500 0.2500 0.5000  4 Be 2.40
Be 0.1154 0.6250 0.2500  2 Te 2.40, 2 Br 2.46
Be 0.3750 0.3654 0.7500  2 Te 2.40, 2 Br 2.46
Be 0.8750 0.8846 0.7500  2 Te 2.40, 2 Br 2.46
Be 0.6346 0.1250 0.2500  2 Te 2.40, 2 Br 2.46

Output
Formation energy without anion corrections, eV/atom: 0.117
Offset from the most stable computed form, kcal/mol of atoms: 4.56
V, Å³/f.u.: 88.63
Magnetic moment, μB per cell: 0.06



# 6
Material: BeTeBr4
Method: DFT, PBE-GGA
State: relaxed

a = 6.2678 Å, b = 6.2678 Å, c = 6.2678 Å
α = 60.00°, β = 60.00°, γ = 60.00°
Closest atoms and distances in Å follow each position.
Fractional positions:
Be 0.0000 0.0000 0.0000  12 Br 3.67, 4 Te 3.84
Br 0.3749 0.8753 0.3749  6 Br 3.13-3.14
Br 0.3749 0.3749 0.3749  6 Br 3.13-3.14
Br 0.8753 0.3749 0.3749  6 Br 3.13-3.14
Br 0.3749 0.3749 0.8753  6 Br 3.13-3.14
Te 0.7500 0.7500 0.7500  12 Br 3.68, 4 Be 3.84

Output
Formation energy without anion corrections, eV/atom: 1.069
V, Å³/f.u.: 174.12
Magnetic moment, μB per cell: 0.48



# 7
Material: BeTeBr2
Method: DFT, PBE-GGA
State: relaxed

a = 7.8905 Å, b = 7.8905 Å, c = 7.8905 Å
α = 155.29°, β = 137.61°, γ = 49.68°
Closest atoms and distances in Å follow each position.
Fractional positions:
Br 0.8249 0.3249 0.5000  2 Te 2.88
Br 0.1096 0.1096 0.0000  2 Be 2.24
Be 0.2127 0.7127 0.5000  2 Br 2.24
Te 0.3527 0.3527 0.0000  2 Be 2.62, 2 Br 2.88

Output
Formation energy without anion corrections, eV/atom: -0.245
Offset from the most stable computed form, kcal/mol of atoms: 3.32
V, Å³/f.u.: 137.95
Magnetic moment, μB per cell: 0.00



# 8
Material: BeTeBr2
Method: DFT, PBE-GGA
State: relaxed

a = 12.6419 Å, b = 12.6419 Å, c = 12.6419 Å
α = 15.43°, β = 15.43°, γ = 15.43°
Closest atoms and distances in Å follow each position.
Fractional positions:
Br 0.0462 0.0462 0.0462  3 Be 2.40
Br 0.4538 0.4538 0.4538  3 Be 2.40
Te 0.2500 0.2500 0.2500  6 Te 3.39
Be 0.7500 0.7500 0.7500  6 Br 2.40

Output
Formation energy without anion corrections, eV/atom: -0.389
Offset from the most stable computed form, kcal/mol of atoms: 0.00
V, Å³/f.u.: 124.57
Magnetic moment, μB per cell: 0.35



# 9
Material: Be2TeBr
Method: DFT, PBE-GGA
State: relaxed

a = 3.4365 Å, b = 3.6717 Å, c = 6.1670 Å
α = 89.99°, β = 90.00°, γ = 90.00°
Closest atoms and distances in Å follow each position.
Fractional positions:
Br 0.5000 0.2500 0.2500  4 Be 2.61
Be 0.0000 0.2483 0.5689  1 Be 2.23
Be 0.0000 0.2517 0.9311  1 Be 2.23
Te 0.5000 0.7500 0.7500  8 Be 2.75-2.76

Output
Formation energy without anion corrections, eV/atom: 0.257
Offset from the most stable computed form, kcal/mol of atoms: 7.79
V, Å³/f.u.: 77.81
Magnetic moment, μB per cell: 0.00



# 10
Material: BeTeBr3
Method: DFT, PBE-GGA
State: relaxed

a = 4.8974 Å, b = 4.8974 Å, c = 4.8974 Å
α = 90.00°, β = 90.00°, γ = 90.00°
Closest atoms and distances in Å follow each position.
Fractional positions:
Br 0.5000 0.0000 0.0000  2 Be 2.45
Br 0.0000 0.0000 0.5000  2 Be 2.45
Br 0.0000 0.5000 0.0000  2 Be 2.45
Te 0.5000 0.5000 0.5000  12 Br 3.46
Be 0.0000 0.0000 0.0000  6 Br 2.45

Output
Formation energy without anion corrections, eV/atom: 0.011
Offset from the most stable computed form, kcal/mol of atoms: 0.00
V, Å³/f.u.: 117.46
Magnetic moment, μB per cell: 0.02



# 11
Material: BeTeBr2
Method: DFT, PBE-GGA
State: relaxed

a = 4.2846 Å, b = 4.7466 Å, c = 4.7466 Å
α = 90.00°, β = 90.00°, γ = 90.00°
Closest atoms and distances in Å follow each position.
Fractional positions:
Te 0.5000 0.5000 0.0000  8 Br 3.20, 4 Be 3.36
Br 0.0000 0.0000 0.0000  4 Te 3.20, 4 Be 3.20, 4 Br 3.36
Br 0.0000 0.5000 0.5000  4 Be 3.20, 4 Te 3.20, 4 Br 3.36
Be 0.5000 0.0000 0.5000  8 Br 3.20, 4 Te 3.36

Output
Formation energy without anion corrections, eV/atom: 0.752
Offset from the most stable computed form, kcal/mol of atoms: 26.31
V, Å³/f.u.: 96.53
Magnetic moment, μB per cell: 0.00



# 12
Material: BeTe2Br
Method: DFT, PBE-GGA
State: relaxed

a = 5.1859 Å, b = 5.1823 Å, c = 5.1765 Å
α = 68.73°, β = 74.15°, γ = 111.34°
Closest atoms and distances in Å follow each position.
Fractional positions:
Te 0.0000 0.0000 0.0000  2 Br 2.92, 2 Be 2.92, 2 Te 3.12
Te 0.5000 0.0000 0.5000  2 Be 2.92, 2 Br 2.92, 2 Te 3.12
Be 0.0000 0.5000 0.5000  4 Te 2.92, 2 Br 3.12
Br 0.5000 0.5000 0.0000  4 Te 2.92, 2 Be 3.12

Output
Formation energy without anion corrections, eV/atom: 0.396
Offset from the most stable computed form, kcal/mol of atoms: 13.80
V, Å³/f.u.: 106.79
Magnetic moment, μB per cell: 0.00



> Among the records above, which one has the highest magnetic moment?

BeTcBr2



> Which value of magnetic moment does entry 3 give?

0.00 μB per cell



> Which formula does entry 11 have?

BeTeBr2